1.
PBE YMnOs2, relaxed; formation energy from the elements = 0.508 eV/atom; SG = I-42d (122); distance to the lowest polymorph of the same formula = 1.48 eV per formula unit
1.0
-3.6675 3.6675 2.6331
3.6675 -3.6675 2.6331
3.6675 3.6675 -2.6331
Y Mn Os
2 2 4
direct
0.0000 0.0000 0.0000
0.7500 0.2500 0.5000
0.2500 0.7500 0.5000
0.5000 0.5000 0.0000
0.1907 0.6250 0.0657
0.3750 0.4407 0.5657
0.5593 0.1250 0.9343
0.8750 0.8093 0.4343

2.
PBE LiZr2Os, relaxed; formation energy from the elements = 0.115 eV/atom; SG = C2/m (12); distance to the lowest polymorph of the same formula = 1.73 eV per formula unit
1.0
4.1258 -1.5744 0.0000
4.1258 1.5744 0.0000
-0.7637 0.0000 6.1314
Li Zr Os
1 2 1
direct
0.0000 0.0000 0.0000
0.2386 0.2386 0.7223
0.7614 0.7614 0.2777
0.5000 0.5000 0.5000

3.
PBE Ca2Pr3Nd2, relaxed; formation energy from the elements = 0.071 eV/atom; SG = C2/m (12)
1.0
5.9017 -2.6605 0.0000
5.9017 2.6605 0.0000
-1.2582 0.0000 8.1979
Ca Pr Nd
2 3 2
direct
0.0690 0.0690 0.2153
0.9310 0.9310 0.7847
0.3496 0.3496 0.0756
0.5000 0.5000 0.5000
0.6504 0.6504 0.9244
0.2183 0.2183 0.6426
0.7817 0.7817 0.3574

4.
PBE Ac2Ag3Au2, relaxed; formation energy from the elements = -0.495 eV/atom; SG = C2/m (12); distance to the lowest polymorph of the same formula = 0.00 eV per formula unit
1.0
5.3531 -2.3543 0.0000
5.3531 2.3543 0.0000
-2.1413 0.0000 7.0480
Ac Ag Au
2 3 2
direct
0.1335 0.1335 0.2705
0.8665 0.8665 0.7295
0.3889 0.3889 0.0770
0.5000 0.5000 0.5000
0.6111 0.6111 0.9230
0.1655 0.1655 0.7214
0.8345 0.8345 0.2786